The following is a GGA-PBE calculation of crystalline GdPuU at its relaxed geometry, from OQMD.

Lattice parameters (Å, degrees): 4.9601 4.9601 4.9601 60.00 60.00 60.00
Closest atoms and distances in Å follow each position.
Sites, in units of the cell vectors:
1 Gd 0.0000 0.0000 0.0000  4 U 3.04
2 Pu 0.5000 0.5000 0.5000  4 U 3.04
3 U 0.2500 0.2500 0.2500  4 Pu 3.04, 4 Gd 3.04

Results
The value obtained for the density is 12.302 g cm⁻³. Its volume is 28.8 Å³/atom. For the formation energy, the calculation gives 1.004 eV/atom. As for the size of the total moment: 3.04 μB/atom.